(1)
4
Lattice="1.9100 1.1027 7.3292 -1.9100 1.1027 7.3292 0.0000 -2.2054 7.3292" Properties=species:S:1:pos:R:3 comment="CuSnP2 | the Alexandria database | PBE-GGA | optimized geometry" energy_ev_per_cell=-17.68 pbc="T T T"
Cu 0.0000 0.0000 0.0000
Sn 0.0000 0.0000 10.9938
P 0.0000 0.0000 2.1720
P 0.0000 0.0000 19.8155

---

(2)
15
Lattice="5.4483 -3.7514 0.0000 5.4483 3.7514 0.0000 -3.9602 0.0000 6.8061" Properties=species:S:1:pos:R:3 comment="Cu4SnP10 | the Alexandria database | PBE-GGA | optimized geometry" energy_ev_per_cell=-71.96 e_above_lowest_polymorph_ev_per_atom=0.295 pbc="T T T"
Cu 0.0000 0.0000 0.0000
Cu 4.7995 1.8412 1.5775
Cu 4.7995 -1.8412 1.5775
Cu 5.7561 0.0000 4.5765
Sn -1.7593 0.0000 5.3302
P 0.9244 1.9233 3.2298
P -0.2722 2.2263 6.4227
P 3.1225 1.9843 3.1840
P 0.9124 0.0000 4.5274
P 0.9244 -1.9233 3.2298
P 5.4743 0.0000 0.2959
P 3.2834 0.0000 4.2537
P -0.2722 -2.2263 6.4227
P 3.5509 0.0000 6.5144
P 3.1225 -1.9843 3.1840

---

(3)
5
Lattice="5.0181 0.0000 0.0000 0.0000 5.0181 0.0000 0.0000 0.0000 5.0181" Properties=species:S:1:pos:R:3 comment="CuSn3P | the Alexandria database | PBE-GGA | optimized geometry" energy_ev_per_cell=-19.23 e_above_lowest_polymorph_ev_per_atom=0.000 pbc="T T T"
Cu 0.0000 0.0000 0.0000
Sn 0.0000 0.0000 2.5091
Sn 0.0000 2.5091 0.0000
Sn 2.5091 0.0000 0.0000
P 2.5091 2.5091 2.5091

---

no.,formation energy (eV per atom)
1,0.310
2,0.169
3,0.458